No. 1
Here is BaCu2Cl after structural relaxation from the Alexandria database. Energies are from PBE.

## Properties
Its theoretical density is 4.911 g/cm3. The volume comes out at 406 Å³/cell. The raw formation energy is 0.11 eV per atom. The value obtained for the total energy is -46.1 eV/cell. The excess energy over the best structure of this formula in the dataset comes out at 0.6571 eV/atom. The magnetic moment is 0.00 μB/cell.

abc: 7.402 7.402 7.402
angles: 90.00 90.00 90.00
Fractional positions:
Ba  0.000  0.000  0.000
Ba  0.000  0.500  0.500
Ba  0.500  0.000  0.500
Ba  0.500  0.500  0.000
Cu  0.250  0.250  0.250
Cu  0.250  0.250  0.750
Cu  0.250  0.750  0.250
Cu  0.250  0.750  0.750
Cu  0.750  0.250  0.250
Cu  0.750  0.250  0.750
Cu  0.750  0.750  0.250
Cu  0.750  0.750  0.750
Cl  0.000  0.000  0.500
Cl  0.000  0.500  0.000
Cl  0.500  0.000  0.000
Cl  0.500  0.500  0.500

---

No. 2
Here is BiMoRu2S after structural relaxation from the Alexandria database. Energies are from PBE.

## Properties
Its theoretical density is 6.936 g/cm3. The volume comes out at 129 Å³/cell. The raw formation energy is 2.40 eV per atom. The value obtained for the total energy is -25.4 eV/cell. The magnetic moment is 3.91 μB/cell.

abc: 4.993 4.993 5.177
angles: 90.00 90.00 90.00
Fractional positions:
Bi  0.000  0.000  0.000
Mo  0.000  0.000  0.500
Ru  0.000  0.500  0.000
Ru  0.500  0.000  0.000
S  0.500  0.500  0.500

---

No. 3
Here is KBeRe2Te after structural relaxation from the Alexandria database. Energies are from PBE.

## Properties
Its theoretical density is 9.362 g/cm3. The volume comes out at 97 Å³/cell. The raw formation energy is 1.38 eV per atom. The value obtained for the total energy is -26.0 eV/cell. The magnetic moment is 0.00 μB/cell.

abc: 4.345 4.345 5.149
angles: 90.00 90.00 90.00
Fractional positions:
K  0.000  0.000  0.000
Be  0.000  0.000  0.500
Re  0.000  0.500  0.500
Re  0.500  0.000  0.500
Te  0.500  0.500  0.000

---

No. 4
Here is K2TeMo after structural relaxation from the Alexandria database. Energies are from PBE.

## Properties
Its theoretical density is 2.773 g/cm3. The volume comes out at 361 Å³/cell. The raw formation energy is 0.36 eV per atom. The value obtained for the total energy is -29.4 eV/cell. The magnetic moment is 7.50 μB/cell.

abc: 8.316 4.793 9.453
angles: 90.00 106.41 90.00
Fractional positions:
K  0.000  0.000  0.000
K  0.177  0.000  0.551
K  0.500  0.500  0.000
K  0.677  0.500  0.551
Te  0.255  0.500  0.276
Te  0.755  0.000  0.276
Mo  0.422  0.000  0.275
Mo  0.922  0.500  0.275